# Al2RePb (PBE, relaxed)
# Density of states at the Fermi level in states/eV per atom: 0.59
# Final energy in eV per atom: -5.78
data_Al2RePb
_chemical_formula_sum 'Al2 Re1 Pb1'
_cell_length_a 3.1937
_cell_length_b 3.2261
_cell_length_c 7.5374
_cell_angle_alpha 90.00
_cell_angle_beta 97.11
_cell_angle_gamma 90.00
_space_group_name_H-M_alt 'P 1 2/m 1'
_space_group_IT_number 10
loop_
_space_group_symop_operation_xyz
'x,y,z'
'-x,-y,-z'
'-x,y,-z'
'x,-y,z'
loop_
_atom_site_label
_atom_site_type_symbol
_atom_site_fract_x
_atom_site_fract_y
_atom_site_fract_z
Al1 Al 0.0471 0.0000 0.1765
Re1 Re 0.5000 0.5000 0.0000
Pb1 Pb 0.5000 0.5000 0.5000

---

# AlRePb2 (PBE, relaxed)
# Density of states at the Fermi level in states/eV per atom: 0.45
# Final energy in eV per atom: -5.13
data_AlRePb2
_chemical_formula_sum 'Al3 Re3 Pb6'
_cell_length_a 3.1831
_cell_length_b 3.1831
_cell_length_c 30.9718
_cell_angle_alpha 90.00
_cell_angle_beta 90.00
_cell_angle_gamma 120.00
_space_group_name_H-M_alt 'R -3 m'
_space_group_IT_number 166
_space_group_name_Hall '-R 3 2"'
loop_
_atom_site_label
_atom_site_type_symbol
_atom_site_fract_x
_atom_site_fract_y
_atom_site_fract_z
Al1 Al 0.0000 0.0000 0.0000
Re1 Re 0.0000 0.0000 0.5000
Pb1 Pb 0.0000 0.0000 0.2409

---

# Al2RePb (PBE, relaxed)
# Density of states at the Fermi level in states/eV per atom: 0.60
# Final energy in eV per atom: -5.20
data_Al2RePb
_chemical_formula_sum 'Al8 Re4 Pb4'
_cell_length_a 4.2562
_cell_length_b 4.2562
_cell_length_c 18.1203
_cell_angle_alpha 90.00
_cell_angle_beta 90.00
_cell_angle_gamma 90.00
_space_group_name_H-M_alt 'I -4 2 d'
_space_group_IT_number 122
_space_group_name_Hall 'I -4 2bw'
loop_
_atom_site_label
_atom_site_type_symbol
_atom_site_fract_x
_atom_site_fract_y
_atom_site_fract_z
Al1 Al 0.1867 0.2500 0.1250
Re1 Re 0.0000 0.0000 0.0000
Pb1 Pb 0.0000 0.0000 0.5000

---

# Al2RePb (PBE, relaxed)
# Density of states at the Fermi level in states/eV per atom: 0.82
# Final energy in eV per atom: -5.51
data_Al2RePb
_chemical_formula_sum 'Al4 Re2 Pb2'
_cell_length_a 8.7252
_cell_length_b 3.5006
_cell_length_c 5.2073
_cell_angle_alpha 90.00
_cell_angle_beta 102.65
_cell_angle_gamma 90.00
_space_group_name_H-M_alt 'C 1 m 1'
_space_group_IT_number 8
loop_
_space_group_symop_operation_xyz
'x,y,z'
'x,-y,z'
'x+1/2,y+1/2,z'
'x+1/2,-y+1/2,z'
loop_
_atom_site_label
_atom_site_type_symbol
_atom_site_fract_x
_atom_site_fract_y
_atom_site_fract_z
Al1 Al 0.0000 0.0000 0.0000
Al2 Al 0.2440 0.5000 0.2239
Re1 Re 0.4684 0.0000 0.3377
Pb1 Pb 0.2254 0.0000 0.6753

---

# AlRe2Pb (PBE, relaxed)
# Density of states at the Fermi level in states/eV per atom: 1.24
# Distance to the lowest polymorph of the same formula in kcal/mol of atoms: 15.24
data_AlRe2Pb
_chemical_formula_sum 'Al1 Re2 Pb1'
_cell_length_a 4.0876
_cell_length_b 4.0876
_cell_length_c 4.0617
_cell_angle_alpha 90.00
_cell_angle_beta 90.00
_cell_angle_gamma 90.00
_space_group_name_H-M_alt 'P 4/m m m'
_space_group_IT_number 123
_space_group_name_Hall '-P 4 2'
loop_
_atom_site_label
_atom_site_type_symbol
_atom_site_fract_x
_atom_site_fract_y
_atom_site_fract_z
Al1 Al 0.0000 0.0000 0.0000
Re1 Re 0.0000 0.5000 0.5000
Pb1 Pb 0.5000 0.5000 0.0000

---

# Al2RePb (PBE, relaxed)
# Density of states at the Fermi level in states/eV per atom: 0.91
# Final energy in eV per atom: -5.49
data_Al2RePb
_chemical_formula_sum 'Al4 Re2 Pb2'
_cell_length_a 8.7883
_cell_length_b 3.5029
_cell_length_c 5.1435
_cell_angle_alpha 90.00
_cell_angle_beta 105.35
_cell_angle_gamma 90.00
_space_group_name_H-M_alt 'C 1 2/m 1'
_space_group_IT_number 12
loop_
_space_group_symop_operation_xyz
'x,y,z'
'-x,-y,-z'
'-x,y,-z'
'x,-y,z'
'x+1/2,y+1/2,z'
'-x+1/2,-y+1/2,-z'
'-x+1/2,y+1/2,-z'
'x+1/2,-y+1/2,z'
loop_
_atom_site_label
_atom_site_type_symbol
_atom_site_fract_x
_atom_site_fract_y
_atom_site_fract_z
Al1 Al 0.2276 0.0000 0.1735
Re1 Re 0.0000 0.5000 0.0000
Pb1 Pb 0.0000 0.0000 0.5000

---

# AlRePb2 (PBE, relaxed)
# Density of states at the Fermi level in states/eV per atom: 0.77
# Final energy in eV per atom: -5.45
data_AlRePb2
_chemical_formula_sum 'Al3 Re3 Pb6'
_cell_length_a 3.1702
_cell_length_b 3.1702
_cell_length_c 31.1519
_cell_angle_alpha 90.00
_cell_angle_beta 90.00
_cell_angle_gamma 120.00
_space_group_name_H-M_alt 'R 3 m'
_space_group_IT_number 160
_space_group_name_Hall 'R 3 -2"'
loop_
_atom_site_label
_atom_site_type_symbol
_atom_site_fract_x
_atom_site_fract_y
_atom_site_fract_z
Al1 Al 0.0000 0.0000 0.0000
Re1 Re 0.0000 0.0000 0.7256
Pb1 Pb 0.0000 0.0000 0.2467
Pb2 Pb 0.0000 0.0000 0.4686

---

# AlRePb2 (PBE, relaxed)
# Density of states at the Fermi level in states/eV per atom: 0.69
# Final energy in eV per atom: -5.11
data_AlRePb2
_chemical_formula_sum 'Al1 Re1 Pb2'
_cell_length_a 3.2804
_cell_length_b 3.3607
_cell_length_c 8.1982
_cell_angle_alpha 90.00
_cell_angle_beta 90.08
_cell_angle_gamma 90.00
_space_group_name_H-M_alt 'P 1 2/m 1'
_space_group_IT_number 10
loop_
_space_group_symop_operation_xyz
'x,y,z'
'-x,-y,-z'
'-x,y,-z'
'x,-y,z'
loop_
_atom_site_label
_atom_site_type_symbol
_atom_site_fract_x
_atom_site_fract_y
_atom_site_fract_z
Al1 Al 0.0000 0.0000 0.0000
Re1 Re 0.0000 0.0000 0.5000
Pb1 Pb 0.4990 0.5000 0.2850